Entry 1:
DFT (PBE) results for Rb4BrOF after structural relaxation.

Computed properties:
As for the crystal system: tetragonal. As for the total energy: -3.3216 eV/atom. The calculation puts the density of states at the Fermi level at 0.34 states/eV per cell. Its symmetry is No. 107. As for the volume: 34.7 Å³ per atom.

abc: 9.004 9.004 9.004
angles: 144.68 144.68 50.81
Atoms (fractional coordinates):
Rb (0.000, 0.000, 0.000)
Rb (0.180, 0.680, 0.500)
Rb (0.332, 0.332, 0.000)
Rb (0.680, 0.180, 0.500)
Br (0.534, 0.534, 0.000)
O (0.171, 0.171, 0.000)
F (0.819, 0.819, 0.000)

Entry 2:
DFT (PBE) results for LiPaAlFe after structural relaxation.

Computed properties:
As for the crystal system: cubic. As for the total energy: -6.0012 eV/atom. The calculation puts the density of states at the Fermi level at 5.46 states/eV per cell. Its symmetry is No. 216. As for the volume: 16.0 Å³ per atom.

abc: 4.490 4.490 4.490
angles: 60.00 60.00 60.00
Atoms (fractional coordinates):
Li (0.000, 0.000, 0.000)
Pa (0.750, 0.750, 0.750)
Al (0.250, 0.250, 0.250)
Fe (0.500, 0.500, 0.500)

Entry 3:
DFT (PBE) results for Y5ThIn4 after structural relaxation.

Computed properties:
As for the crystal system: tetragonal. As for the total energy: -5.4752 eV/atom. The calculation puts the density of states at the Fermi level at 6.43 states/eV per cell. Its symmetry is No. 123. As for the volume: 27.6 Å³ per atom.

abc: 3.541 3.541 22.025
angles: 90.00 90.00 90.00
Atoms (fractional coordinates):
Y (0.000, 0.000, 0.000)
Y (0.000, 0.000, 0.194)
Y (0.000, 0.000, 0.387)
Y (0.000, 0.000, 0.613)
Y (0.000, 0.000, 0.806)
Th (0.500, 0.500, 0.500)
In (0.500, 0.500, 0.097)
In (0.500, 0.500, 0.291)
In (0.500, 0.500, 0.709)
In (0.500, 0.500, 0.903)

Entry 4:
DFT (PBE) results for CaMnNb2 after structural relaxation.

Computed properties:
As for the crystal system: tetragonal. As for the total energy: -6.6172 eV/atom. The calculation puts the energy relative to the lowest polymorph listed for this composition at 0.4860 eV/atom. The calculation puts the density of states at the Fermi level at 9.04 states/eV per cell. Its symmetry is No. 141. As for the volume: 26.2 Å³ per atom.

abc: 8.932 8.932 8.932
angles: 147.11 147.11 47.20
Atoms (fractional coordinates):
Ca (0.375, 0.625, 0.750)
Ca (0.625, 0.375, 0.250)
Mn (0.125, 0.875, 0.250)
Mn (0.875, 0.125, 0.750)
Nb (0.000, 0.000, 0.000)
Nb (0.000, 0.000, 0.500)
Nb (0.000, 0.500, 0.000)
Nb (0.500, 0.000, 0.500)

Entry 5:
DFT (PBE) results for Tm2ZnCd8 after structural relaxation.

Computed properties:
As for the crystal system: tetragonal. As for the total energy: -1.7651 eV/atom. The calculation puts the density of states at the Fermi level at 5.65 states/eV per cell. Its symmetry is No. 123. As for the volume: 23.1 Å³ per atom.

abc: 4.548 4.548 12.260
angles: 90.00 90.00 90.00
Atoms (fractional coordinates):
Tm (0.000, 0.000, 0.192)
Tm (0.000, 0.000, 0.808)
Zn (0.000, 0.000, 0.500)
Cd (0.000, 0.500, 0.000)
Cd (0.000, 0.500, 0.372)
Cd (0.000, 0.500, 0.628)
Cd (0.500, 0.000, 0.000)
Cd (0.500, 0.000, 0.372)
Cd (0.500, 0.000, 0.628)
Cd (0.500, 0.500, 0.192)
Cd (0.500, 0.500, 0.808)